Record 1
# Pr3HoEr8

A relaxed Pr3HoEr8 crystal (PBE, Alexandria).

Geometry as CIF:
```
data_Pr3HoEr8
_space_group_name_H-M_alt 'I -4 2 m'
_space_group_IT_number 121
_space_group_name_Hall 'I -4 2'
_cell_length_a 8.750
_cell_length_b 8.750
_cell_length_c 11.295
_cell_angle_alpha 90.00
_cell_angle_beta 90.00
_cell_angle_gamma 90.00
loop_
_atom_site_label
_atom_site_type_symbol
_atom_site_fract_x
_atom_site_fract_y
_atom_site_fract_z
Pr1 Pr 0.000 0.000 0.000
Pr2 Pr 0.000 0.500 0.250
Ho1 Ho 0.000 0.000 0.500
Er1 Er 0.126 0.126 0.744
Er2 Er 0.243 0.243 0.487
```


Record 2
# Pr12HoEr6

A relaxed Pr12HoEr6 crystal (PBE, Alexandria).

Geometry as CIF:
```
data_Pr12HoEr6
_space_group_name_H-M_alt 'R -3'
_space_group_IT_number 148
_space_group_name_Hall '-R 3'
_cell_length_a 14.9015
_cell_length_b 14.9015
_cell_length_c 10.5586
_cell_angle_alpha 90.00
_cell_angle_beta 90.00
_cell_angle_gamma 120.00
loop_
_atom_site_label
_atom_site_type_symbol
_atom_site_fract_x
_atom_site_fract_y
_atom_site_fract_z
Pr1 Pr 0.0533 0.2511 0.0791
Pr2 Pr 0.0642 0.2266 0.4195
Ho1 Ho 0.0000 0.0000 0.0000
Er1 Er 0.0510 0.2152 0.7593
```


Calculated formation energy for the records above, in order: 0.628; 0.237 eV/atom